This record from Alexandria via LeMat-Bulk describes a geometry-optimized LaTlAsHCl structure. The functional is PBE.

Cell lengths 4.631, 5.283, 5.885 Å; angles 93.06, 113.03, 115.90 degrees
Fractional coordinates of all 5 atoms:
La1 0.000 0.000 0.000
Tl1 0.949 0.450 0.452
As1 0.388 0.133 0.644
H1 0.612 0.506 0.711
Cl1 0.381 0.654 0.109

Properties
Symmetry: No. 1

***

This record from Alexandria via LeMat-Bulk describes a geometry-optimized LaTlAsHCl structure. The functional is PBE.

Cell lengths 4.269, 4.096, 7.192 Å; angles 90.00, 106.00, 90.00 degrees
Fractional coordinates of all 5 atoms:
La1 0.000 0.000 0.000
Tl1 0.261 0.000 0.521
As1 0.781 0.500 0.689
H1 0.835 0.500 0.486
Cl1 0.546 0.500 0.096

Properties
Symmetry: No. 6

***

This record from Alexandria via LeMat-Bulk describes a geometry-optimized LaTlAsHCl structure. The functional is PBE.

Cell lengths 4.054, 4.053, 7.621 Å; angles 90.00, 105.03, 90.00 degrees
Fractional coordinates of all 5 atoms:
La1 0.000 0.000 0.000
Tl1 0.713 0.000 0.438
As1 0.151 0.500 0.312
H1 0.566 0.000 0.135
Cl1 0.426 0.500 0.847

Properties
Symmetry: No. 6

***

This record from Alexandria via LeMat-Bulk describes a geometry-optimized LaTlAsHCl structure. The functional is PBE.

Cell lengths 4.302, 5.362, 6.297 Å; angles 90.12, 90.00, 112.88 degrees
Fractional coordinates of all 5 atoms:
La1 0.000 0.000 0.000
Tl1 0.700 0.417 0.501
As1 0.019 0.035 0.500
H1 0.423 0.841 0.998
Cl1 0.705 0.414 0.001

Properties
Symmetry: No. 1

***

This record from Alexandria via LeMat-Bulk describes a geometry-optimized LaTlAsHCl structure. The functional is PBE.

Cell lengths 3.910, 4.413, 8.174 Å; angles 90.00, 93.01, 90.00 degrees
Fractional coordinates of all 5 atoms:
La1 0.000 0.000 0.000
Tl1 0.939 0.500 0.445
As1 0.516 0.500 0.125
H1 0.768 0.500 0.963
Cl1 0.465 0.000 0.743

Properties
Symmetry: No. 6

***

This record from Alexandria via LeMat-Bulk describes a geometry-optimized NaAsH2Cl structure. The functional is PBE.

Cell lengths 3.314, 5.220, 5.280 Å; angles 71.58, 89.96, 89.87 degrees
Fractional coordinates of all 5 atoms:
Na1 0.000 0.000 0.000
As1 0.500 0.465 0.127
H1 0.005 0.797 0.536
H2 0.989 0.949 0.492
Cl1 0.499 0.354 0.587

Properties
Symmetry: No. 1

***

This record from Alexandria via LeMat-Bulk describes a geometry-optimized NaAsH2Cl structure. The functional is PBE.

Cell lengths 6.712, 6.712, 2.707 Å; angles 90.22, 90.22, 50.65 degrees
Fractional coordinates of all 5 atoms:
Na1 0.000 0.000 0.000
As1 0.470 0.470 0.501
H1 0.747 0.880 0.486
H2 0.880 0.747 0.486
Cl1 0.191 0.191 0.504

Properties
Symmetry: No. 8

***

This record from Alexandria via LeMat-Bulk describes a geometry-optimized NaAsH2Cl structure. The functional is PBE.

Cell lengths 3.321, 4.185, 7.489 Å; angles 82.47, 77.31, 90.00 degrees
Fractional coordinates of all 5 atoms:
Na1 0.000 0.000 0.000
As1 0.726 0.004 0.569
H1 0.768 0.687 0.484
H2 0.823 0.203 0.375
Cl1 0.486 0.493 0.029

Properties
Symmetry: No. 1

***

This record from Alexandria via LeMat-Bulk describes a geometry-optimized NaAsH2Cl structure. The functional is PBE.

Cell lengths 3.334, 4.160, 7.327 Å; angles 90.06, 90.75, 90.01 degrees
Fractional coordinates of all 5 atoms:
Na1 0.000 0.000 0.000
As1 0.441 0.794 0.501
H1 0.437 0.061 0.354
H2 0.445 0.060 0.650
Cl1 0.501 0.499 0.002

Properties
Symmetry: No. 1

***

This record from Alexandria via LeMat-Bulk describes a geometry-optimized AsPH2Cl2 structure. The functional is PBE.

Cell lengths 6.717, 6.717, 8.191 Å; angles 90.00, 90.00, 59.75 degrees
Fractional coordinates of all 12 atoms:
As1 0.228 0.772 0.500
As2 0.772 0.228 0.000
P1 0.441 0.559 0.101
P2 0.559 0.441 0.601
H1 0.293 0.529 0.991
H2 0.471 0.707 0.991
H3 0.529 0.293 0.491
H4 0.707 0.471 0.491
Cl1 0.017 0.279 0.155
Cl2 0.279 0.017 0.655
Cl3 0.721 0.983 0.155
Cl4 0.983 0.721 0.655

Properties
Symmetry: No. 36

***

This record from Alexandria via LeMat-Bulk describes a geometry-optimized AsPHCl2 structure. The functional is PBE.

Cell lengths 4.270, 4.270, 4.280 Å; angles 90.00, 90.00, 90.00 degrees
Fractional coordinates of all 5 atoms:
As1 0.000 0.000 0.000
P1 0.500 0.500 0.000
H1 0.500 0.500 0.500
Cl1 0.000 0.500 0.500
Cl2 0.500 0.000 0.500

Properties
Symmetry: No. 123

***

This record from Alexandria via LeMat-Bulk describes a geometry-optimized AsPHCl2 structure. The functional is PBE.

Cell lengths 5.105, 5.105, 4.968 Å; angles 90.00, 90.00, 90.00 degrees
Fractional coordinates of all 5 atoms:
As1 0.000 0.000 0.000
P1 0.000 0.000 0.500
H1 0.500 0.500 0.500
Cl1 0.000 0.500 0.000
Cl2 0.500 0.000 0.000

Properties
Symmetry: No. 123

***

no.,DFT total energy (eV per atom)
1,-4.181
2,-4.154
3,-4.223
4,-4.229
5,-4.244
6,-3.173
7,-3.006
8,-3.390
9,-3.386
10,-3.729
11,-2.605
12,-2.767